1.
Entry from the Alexandria database: a relaxed structure of U2Tl3AgSe6 (GGA-PBE).

Calculated values
Its total energy is -5.21 eV/atom. As for the symmetry: C2/m, No. 12. The uncorrected formation energy comes out at -73.5 kJ/mol of atoms.

a b c (Å): 7.183 7.183 8.154
angles (deg): 98.24 98.24 120.14
Sites, in units of the cell vectors:
U1 0.167 0.833 0.000
U2 0.833 0.167 0.000
Tl1 0.000 0.000 0.500
Tl2 0.339 0.661 0.500
Tl3 0.661 0.339 0.500
Ag1 0.500 0.500 0.000
Se1 0.080 0.431 0.791
Se2 0.221 0.221 0.200
Se3 0.431 0.080 0.791
Se4 0.569 0.920 0.209
Se5 0.779 0.779 0.800
Se6 0.920 0.569 0.209



2.
Entry from the Alexandria database: a relaxed structure of Tl3Ag3WSe8 (GGA-PBE).

Calculated values
Its total energy is -3.93 eV/atom. As for the symmetry: R-3m, No. 166. The uncorrected formation energy comes out at -15.6 kJ/mol of atoms.

a b c (Å): 8.275 8.275 8.275
angles (deg): 59.00 59.00 59.00
Sites, in units of the cell vectors:
Tl1 0.000 0.500 0.500
Tl2 0.500 0.000 0.500
Tl3 0.500 0.500 0.000
Ag1 0.000 0.000 0.500
Ag2 0.000 0.500 0.000
Ag3 0.500 0.000 0.000
W1 0.500 0.500 0.500
Se1 0.229 0.229 0.229
Se2 0.273 0.719 0.719
Se3 0.281 0.281 0.727
Se4 0.281 0.727 0.281
Se5 0.719 0.273 0.719
Se6 0.719 0.719 0.273
Se7 0.727 0.281 0.281
Se8 0.771 0.771 0.771



3.
Entry from the Alexandria database: a relaxed structure of Y2Tl3AgSe6 (GGA-PBE).

Calculated values
Its total energy is -4.57 eV/atom. As for the symmetry: C2/m, No. 12. The uncorrected formation energy comes out at -88.6 kJ/mol of atoms.

a b c (Å): 7.223 7.223 7.740
angles (deg): 98.93 98.93 119.86
Sites, in units of the cell vectors:
Y1 0.166 0.834 0.000
Y2 0.834 0.166 0.000
Tl1 0.000 0.000 0.500
Tl2 0.324 0.676 0.500
Tl3 0.676 0.324 0.500
Ag1 0.500 0.500 0.000
Se1 0.099 0.430 0.789
Se2 0.234 0.234 0.224
Se3 0.430 0.099 0.789
Se4 0.570 0.901 0.211
Se5 0.766 0.766 0.776
Se6 0.901 0.570 0.211